Entry 1:
First-principles (PBE) data for a relaxed structure of Sc2UTe4, as listed in Alexandria via LeMat-Bulk.

Calculated values
formation energy from raw total energies = -959 meV per atom
symmetry = Cmcm

Unit cell a=4.1584 b=7.1823 c=14.3675 alpha=90.00 beta=90.00 gamma=106.83
With the nearest neighbours (Å) after each atom.
Atoms (fractional coordinates):
Te 0.5000 0.0000 0.5000  4 Sc 2.91
Sc 0.1318 0.2637 0.4357  6 Te 2.89-2.95
Sc 0.1318 0.2637 0.0643  6 Te 2.89-2.95
Te 0.7725 0.5450 0.1188  3 Sc 2.94-2.95, 2 U 3.17
Te 0.0508 0.1016 0.2500  2 Sc 2.89, 2 U 3.13
Te 0.2275 0.4550 0.8812  3 Sc 2.94-2.95, 2 U 3.17
Sc 0.8682 0.7363 0.5643  6 Te 2.89-2.95
Te 0.2275 0.4550 0.6188  3 Sc 2.94-2.95, 2 U 3.17
Te 0.7725 0.5450 0.3812  3 Sc 2.94-2.95, 2 U 3.17
Te 0.5000 0.0000 0.0000  4 Sc 2.91
U 0.6196 0.2392 0.7500  6 Te 3.13-3.17
Te 0.9492 0.8984 0.7500  2 Sc 2.89, 2 U 3.13
Sc 0.8682 0.7363 0.9357  6 Te 2.89-2.95
U 0.3804 0.7608 0.2500  6 Te 3.13-3.17


Entry 2:
First-principles (PBE) data for a relaxed structure of BeIrAu, as listed in Alexandria via LeMat-Bulk.

Calculated values
E_form = 0.48 eV/f.u.
symmetry = Pm

Unit cell a=2.8340 b=3.8229 c=4.2406 alpha=90.00 beta=109.39 gamma=90.00
With the nearest neighbours (Å) after each atom.
Atoms (fractional coordinates):
Au 0.4174 0.5000 0.4749  4 Be 2.46
Ir 0.1252 0.0000 0.8868  3 Be 2.23-2.28
Be 0.8389 0.0000 0.3171  3 Ir 2.23-2.28, 4 Au 2.46


Entry 3:
First-principles (PBE) data for a relaxed structure of TiBe8Cr3, as listed in Alexandria via LeMat-Bulk.

Calculated values
E_form = -2.63 eV/f.u.
symmetry = P3m1

Unit cell a=4.3042 b=4.3042 c=7.0735 alpha=90.00 beta=90.00 gamma=120.00
With the nearest neighbours (Å) after each atom.
Atoms (fractional coordinates):
Be 0.6721 0.8361 0.2441  6 Be 2.12-2.19
Be 0.5030 0.4970 0.7573  6 Be 2.11-2.23
Be 0.5030 0.0060 0.7573  6 Be 2.11-2.23
Cr 0.6667 0.3333 0.0653  12 Be 2.50-2.53, 4 Cr 2.55-2.63
Be 0.1639 0.8361 0.2441  6 Be 2.12-2.19
Be 0.1639 0.3279 0.2441  6 Be 2.12-2.19
Be 0.3333 0.6667 0.9999  6 Be 2.13-2.14
Cr 0.6667 0.3333 0.4260  12 Be 2.51-2.64, 1 Cr 2.55, 3 Ti 2.67
Ti 0.0000 0.0000 0.5650  12 Be 2.53-2.58, 4 Cr 2.67
Be 0.3333 0.6667 0.4974  6 Be 2.19-2.23
Cr 0.0000 0.0000 0.9419  12 Be 2.46-2.52, 3 Cr 2.63, 1 Ti 2.67
Be 0.9940 0.4970 0.7573  6 Be 2.11-2.23


Summary of V in Å³/f.u.
205 43 113
(order as listed above)